[1]
# Fe4SnPd15

A geometry-optimized Fe4SnPd15 structure (GGA-PBE, Alexandria).

Calculated values
Electronic total energy = -119.04 eV per cell

abc: 3.944 3.944 19.405
angles: 90.00 90.00 90.00
Space group P4/mmm (No. 123)
Asymmetric unit:
Fe 0.000 0.000 0.099 [2 per cell]
Fe 0.000 0.000 0.295 [2 per cell]
Sn 0.000 0.000 0.500 [1 per cell]
Pd 0.000 0.500 0.000 [2 per cell]
Pd 0.000 0.500 0.196 [4 per cell]
Pd 0.000 0.500 0.393 [4 per cell]
Pd 0.500 0.500 0.098 [2 per cell]
Pd 0.500 0.500 0.295 [2 per cell]
Pd 0.500 0.500 0.500 [1 per cell]

***

[2]
# FeSnPd6

A geometry-optimized FeSnPd6 structure (GGA-PBE, Alexandria).

Calculated values
Electronic total energy = -88.39 eV per cell
Relative energy among the computed polymorphs = 214 meV/atom

abc: 7.594 5.385 7.343
angles: 90.00 110.31 90.00
Space group C2/m (No. 12)
Asymmetric unit:
Fe 0.000 0.000 0.000 [2 per cell]
Sn 0.000 0.500 0.500 [2 per cell]
Pd 0.152 0.500 0.943 [4 per cell]
Pd 0.186 0.255 0.294 [8 per cell]

***

[3]
# FeSn2Pd2

A geometry-optimized FeSn2Pd2 structure (GGA-PBE, Alexandria).

Calculated values
Electronic total energy = -54.14 eV per cell
Relative energy among the computed polymorphs = 10 meV/atom

abc: 7.468 7.468 3.297
angles: 90.00 90.00 90.00
Space group P4/mbm (No. 127)
Asymmetric unit:
Fe 0.000 0.000 0.000 [2 per cell]
Sn 0.160 0.340 0.000 [4 per cell]
Pd 0.138 0.638 0.500 [4 per cell]

***

no.,energy of formation (eV per atom)
1,-0.165
2,-0.072
3,-0.043